The following is a PBE-GGA calculation of a geometry-optimized AcNiCl structure, from Alexandria.

Cell lengths 4.273, 4.273, 11.106 Å; angles 90.04, 101.04, 120.02 degrees
Element x y z (fractional)
Ac 0.879 0.439 0.318
Ac 0.121 0.561 0.682
Ni 0.325 0.162 0.487
Ni 0.675 0.838 0.513
Cl 0.567 0.284 0.851
Cl 0.433 0.716 0.149

Computed properties:
space group	C2/m, No. 12
raw total energy	-5.13	eV per atom
total magnetic moment	0.0	μB/f.u.
energy relative to the elements, uncorrected	-1219	meV per atom

The following is a PBE-GGA calculation of a geometry-optimized CsRbIn2I5 structure, from Alexandria.

Cell lengths 6.311, 6.311, 11.198 Å; angles 90.00, 90.00, 90.00 degrees
Element x y z (fractional)
Cs 0.000 0.000 0.500
Rb 0.000 0.000 0.000
In 0.500 0.500 0.226
In 0.500 0.500 0.774
I 0.000 0.500 0.205
I 0.500 0.000 0.205
I 0.000 0.500 0.795
I 0.500 0.000 0.795
I 0.500 0.500 0.500

Computed properties:
space group	P4/mmm, No. 123
raw total energy	-2.59	eV per atom
total magnetic moment	0.0	μB/f.u.
energy relative to the elements, uncorrected	-921	meV per atom

The following is a PBE-GGA calculation of a geometry-optimized Na2CdAg2 structure, from Alexandria.

Cell lengths 4.309, 4.309, 7.465 Å; angles 73.23, 73.23, 90.00 degrees
Element x y z (fractional)
Na 0.750 0.250 0.500
Na 0.250 0.750 0.500
Ag 0.403 0.403 0.195
Ag 0.597 0.597 0.805
Cd 0.000 0.000 0.000

Computed properties:
space group	I4/mmm, No. 139
raw total energy	-1.67	eV per atom
energy above the lowest structure with this stoichiometry	235	meV per atom
energy of formation from the pure elements	0.176	eV per atom
total magnetic moment	0.0	μB/f.u.

The following is a PBE-GGA calculation of a geometry-optimized Na2Ge2Au3 structure, from Alexandria.

Cell lengths 4.664, 5.683, 6.540 Å; angles 69.14, 90.00, 114.23 degrees
Element x y z (fractional)
Na 0.334 0.667 0.796
Na 0.666 0.333 0.204
Ge 0.105 0.211 0.561
Ge 0.895 0.789 0.439
Au 0.000 0.000 0.000
Au 0.369 0.737 0.259
Au 0.631 0.263 0.741

Computed properties:
space group	C2/m, No. 12
raw total energy	-3.34	eV per atom
energy above the lowest structure with this stoichiometry	25	meV per atom
energy of formation from the pure elements	-0.241	eV per atom
total magnetic moment	0.0	μB/f.u.

Q: The highest raw total energy belongs to which entry?
A: Na2CdAg2